{"formula": "CsCSeN2", "functional": "PBE-GGA", "state": "optimized geometry", "lattice_angstrom": [[4.397, 0.000, 0.000], [0.000, 4.397, 0.000], [0.000, 0.000, 7.253]], "species": ["Cs", "C", "Se", "N", "N"], "frac_coords": [[0.000, 0.000, 0.000], [0.500, 0.500, 0.500], [0.000, 0.000, 0.500], [0.000, 0.500, 0.000], [0.500, 0.000, 0.000]], "n_ef_per_ev_atom": 1.04, "formation_energy_uncorrected_ev_per_atom": 3.61, "spacegroup": "No. 123", "total_magnetization_mub_per_atom": 0.429, "rho_kg_m3": 2983}